Record 1
PBE In2Se2Cl, optimized geometry; polymorph energy (0 for the lowest one) = 143 meV per atom; magnetization = 0.0 μB/f.u.; ΔE_f (raw) = -0.42 eV/atom; density of states at the Fermi level = 2.2 states/eV per cell
1.0
-5.970 -4.487 -2.543
3.116 -6.238 3.691
-1.963 0.854 3.101
In Se Cl
4 4 2
direct
0.670 0.170 0.000
0.170 0.330 0.000
0.830 0.670 0.000
0.330 0.830 0.000
0.356 0.144 0.500
0.644 0.856 0.500
0.856 0.356 0.500
0.144 0.644 0.500
0.000 0.000 0.000
0.500 0.500 0.000



Record 2
PBE TaInSeCl2, optimized geometry; magnetization = 0.0 μB/f.u.; ΔE_f (raw) = -0.52 eV/atom; density of states at the Fermi level = 2.8 states/eV per cell
1.0
-2.274 -4.295 -0.864
2.077 -1.956 4.256
-3.898 1.539 2.609
Ta Cl In Se
1 2 1 1
direct
0.000 0.000 0.000
0.000 0.000 0.500
0.500 0.000 0.000
0.500 0.500 0.500
0.000 0.500 0.000



Record 3
PBE Tl2InSeCl3, optimized geometry; magnetization = 0.0 μB/f.u.; ΔE_f (raw) = -0.82 eV/atom; density of states at the Fermi level = 0.7 states/eV per cell
1.0
-2.337 -4.305 2.272
4.037 -0.405 3.383
-4.620 7.073 2.236
Cl Tl Se In
3 2 1 1
direct
0.839 0.839 0.678
0.000 0.500 0.000
0.161 0.161 0.322
0.369 0.369 0.737
0.631 0.631 0.263
0.500 0.000 0.000
0.000 0.000 0.000



Record 4
PBE In2SiCl, optimized geometry; polymorph energy (0 for the lowest one) = 225 meV per atom; magnetization = 0.0 μB/f.u.; ΔE_f (raw) = 0.08 eV/atom; density of states at the Fermi level = 1.3 states/eV per cell
1.0
-0.349 -5.070 4.632
-0.637 -6.781 -0.941
3.222 6.019 -0.816
Si In Cl
1 2 1
direct
0.750 0.250 0.500
0.946 0.946 0.000
0.554 0.554 0.000
0.250 0.750 0.500



Record 5
PBE In2SiCl, optimized geometry; polymorph energy (0 for the lowest one) = 164 meV per atom; magnetization = 0.0 μB/f.u.; ΔE_f (raw) = 0.02 eV/atom; density of states at the Fermi level = 1.7 states/eV per cell
1.0
-1.608 -1.447 -2.782
-2.744 -0.871 2.039
-3.283 6.670 -1.571
In Si Cl
2 1 1
direct
0.000 0.000 0.472
0.000 0.000 0.028
0.500 0.500 0.250
0.500 0.500 0.750



Record 6
PBE InSiCl2, optimized geometry; polymorph energy (0 for the lowest one) = 484 meV per atom; magnetization = 0.0 μB/f.u.; ΔE_f (raw) = 0.05 eV/atom; density of states at the Fermi level = 2.5 states/eV per cell
1.0
0.000 3.603 3.603
3.603 0.000 3.603
3.603 3.603 0.000
Cl In Si
2 1 1
direct
0.250 0.250 0.250
0.750 0.750 0.750
0.500 0.500 0.500
0.000 0.000 0.000



Record 7
PBE InSi2Cl, optimized geometry; polymorph energy (0 for the lowest one) = 445 meV per atom; magnetization = 0.0 μB/f.u.; ΔE_f (raw) = 0.37 eV/atom; density of states at the Fermi level = 3.8 states/eV per cell
1.0
-4.277 -0.034 0.281
0.091 -4.192 0.888
-1.469 -0.036 10.326
In Si Cl
2 4 2
direct
0.000 0.000 0.000
0.750 0.250 0.500
0.209 0.625 0.250
0.875 0.791 0.750
0.541 0.125 0.250
0.375 0.459 0.750
0.250 0.750 0.500
0.500 0.500 0.000



Record 8
PBE InSiCl2, optimized geometry; polymorph energy (0 for the lowest one) = 585 meV per atom; magnetization = 0.9 μB/f.u.; ΔE_f (raw) = 0.15 eV/atom; density of states at the Fermi level = 2.9 states/eV per cell
1.0
5.027 0.000 0.000
2.513 4.353 0.000
2.513 1.451 4.104
In Si Cl
1 1 2
direct
0.500 0.500 0.500
0.750 0.750 0.750
0.250 0.250 0.250
0.000 0.000 0.000